Record 1
This record from Alexandria via LeMat-Bulk describes NdErZnCu after structural relaxation. The functional is PBE.

## Properties
Total energy in eV for the cell shown: -15.76
DFT formation energy in eV per atom: -0.264
Space-group type: No. 99
Distance to the lowest polymorph of the same formula in meV per atom: 0
Crystal system: tetragonal
Density of states at the Fermi level in states/eV/atom: 0.907

Cell and atoms, written as POSCAR:
```
NdErZnCu
1.0
3.5480 0.0000 0.0000
0.0000 3.5480 0.0000
0.0000 0.0000 7.1836
Nd Er Zn Cu
1 1 1 1
direct
0.0000 0.0000 0.0000
0.0000 0.0000 0.4875
0.5000 0.5000 0.7260
0.5000 0.5000 0.2737
```

***

Record 2
This record from Alexandria via LeMat-Bulk describes YHo2ErTm5 after structural relaxation. The functional is PBE.

## Properties
Total energy in eV for the cell shown: -82.11
DFT formation energy in eV per atom: 0.165
Space-group type: No. 36
Crystal system: orthorhombic
Density of states at the Fermi level in states/eV/atom: 1.581

Cell and atoms, written as POSCAR:
```
YHo2ErTm5
1.0
2.7655 -9.7997 0.0000
2.7655 9.7997 0.0000
0.0000 0.0000 10.4588
Y Ho Er Tm
2 4 2 10
direct
0.0866 0.9134 0.5000
0.9134 0.0866 0.0000
0.3876 0.6124 0.3619
0.3898 0.6102 0.7808
0.6102 0.3898 0.2808
0.6124 0.3876 0.8619
0.2999 0.7001 0.0560
0.7001 0.2999 0.5560
0.0211 0.9789 0.7820
0.1107 0.8893 0.0668
0.1996 0.8004 0.7545
0.2190 0.7810 0.3526
0.4816 0.5184 0.0690
0.5184 0.4816 0.5690
0.7810 0.2190 0.8526
0.8004 0.1996 0.2545
0.8893 0.1107 0.5668
0.9789 0.0211 0.2820
```